(1)
18
Lattice="9.1408 0.0000 0.0000 -4.5704 7.9161 0.0000 0.0000 0.0000 6.6547" Properties=species:S:1:pos:R:3 comment="PBE Tm5Tl3Cd, relaxed" vol_a3_per_fu=240.8 m_tot_mub_per_cell=0.07 dft_energy_ev_per_fu=-33.2 pbc="T T T"
Tm -1.3110 2.2707 1.6637
Tm -3.2594 5.6455 4.9911
Tm 2.6220 0.0000 1.6637
Tm 1.3110 2.2707 4.9911
Tm 0.0000 5.2774 0.0000
Tm 0.0000 5.2774 3.3274
Tm 4.5704 2.6387 0.0000
Tm 4.5704 2.6387 3.3274
Tm 6.5188 0.0000 4.9911
Tm 3.2594 5.6455 1.6637
Tl -1.7121 2.9654 4.9911
Tl -2.8583 4.9508 1.6637
Tl 3.4241 0.0000 4.9911
Tl 1.7121 2.9654 1.6637
Tl 5.7166 0.0000 1.6637
Tl 2.8583 4.9508 4.9911
Cd 0.0000 0.0000 0.0000
Cd 0.0000 0.0000 3.3274



(2)
10
Lattice="5.4430 0.0000 0.0000 0.0000 8.5333 2.7119 0.0000 -8.5333 2.7119" Properties=species:S:1:pos:R:3 comment="PBE ZrBi, relaxed" vol_a3_per_fu=50.4 m_tot_mub_per_cell=0.01 dft_energy_ev_per_fu=-13.0 pbc="T T T"
Zr 0.0000 0.0000 0.0000
Zr 0.0000 -1.7677 2.7224
Zr 0.0000 1.7677 2.7224
Zr 2.7215 -6.7623 2.7681
Zr 2.7215 6.7623 2.7681
Bi 0.0000 -5.4273 2.7261
Bi 0.0000 5.4273 2.7261
Bi 2.7215 -3.2842 2.7575
Bi 2.7215 0.0000 2.7983
Bi 2.7215 3.2842 2.7575



(3)
12
Lattice="2.2421 -6.7165 0.0000 2.2421 6.7165 0.0000 0.0000 0.0000 11.8143" Properties=species:S:1:pos:R:3 comment="PBE KSnTe2AuSe, relaxed" vol_a3_per_fu=177.9 dft_energy_ev_per_fu=-20.5 pbc="T T T"
K 2.2421 3.6897 8.8608
K 2.2421 -3.6897 2.9536
Sn 2.2421 0.0000 0.0000
Sn 2.2421 0.0000 5.9072
Te 2.2421 4.6428 0.3964
Te 2.2421 4.6428 5.5107
Te 2.2421 -4.6428 6.3036
Te 2.2421 -4.6428 11.4179
Au 2.2421 5.7243 2.9536
Au 2.2421 -5.7243 8.8608
Se 2.2421 0.3960 2.9536
Se 2.2421 -0.3960 8.8608



(4)
3
Lattice="0.0000 3.2009 3.2009 3.2009 0.0000 3.2009 3.2009 3.2009 0.0000" Properties=species:S:1:pos:R:3 comment="PBE PrBeSi, relaxed" vol_a3_per_fu=65.6 m_tot_mub_per_cell=0.00 dft_energy_ev_per_fu=-13.8 pbc="T T T"
Pr 0.0000 0.0000 0.0000
Be 3.2009 3.2009 3.2009
Si 4.8013 4.8013 4.8013



(5)
8
Lattice="5.4391 0.0000 0.0000 0.0000 5.4391 0.0000 0.0000 0.0000 5.4792" Properties=species:S:1:pos:R:3 comment="PBE ZnCu2SnS4, relaxed" vol_a3_per_fu=162.1 dft_energy_ev_per_fu=-32.9 pbc="T T T"
Zn 0.0000 0.0000 0.0000
Cu 0.0000 2.7196 2.7396
Cu 2.7196 0.0000 2.7396
Sn 2.7196 2.7196 0.0000
S 1.3154 1.3154 4.0189
S 1.3154 4.1237 1.4604
S 4.1237 1.3154 1.4604
S 4.1237 4.1237 4.0189



(6)
3
Lattice="0.0000 3.4646 3.4646 3.4646 0.0000 3.4646 3.4646 3.4646 0.0000" Properties=species:S:1:pos:R:3 comment="PBE KMoAs, relaxed" vol_a3_per_fu=83.2 m_tot_mub_per_cell=4.00 dft_energy_ev_per_fu=-13.8 pbc="T T T"
K 0.0000 0.0000 0.0000
Mo 3.4646 3.4646 3.4646
As 1.7323 1.7323 1.7323